(1)
The following is a PBE calculation of crystalline CsHoBiTe3 at its relaxed geometry, from OQMD via LeMat-Bulk.

Properties
Its total energy is -0.144 hartree per atom.

Cell: 9.2864 9.2864 12.1089 Å, 90.00 90.00 152.52°
Element x y z (fractional)
Bi (0.4497, 0.5503, 0.2500)
Bi (0.5503, 0.4497, 0.7500)
Te (0.0759, 0.9241, 0.2500)
Te (0.3793, 0.6207, 0.4793)
Te (0.9241, 0.0759, 0.7500)
Te (0.3793, 0.6207, 0.0207)
Te (0.6207, 0.3793, 0.5207)
Te (0.6207, 0.3793, 0.9793)
Ho (0.0000, 0.0000, 0.0000)
Ho (0.0000, 0.0000, 0.5000)
Cs (0.7552, 0.2448, 0.2500)
Cs (0.2448, 0.7552, 0.7500)



(2)
The following is a PBE calculation of crystalline BaReOs at its relaxed geometry, from OQMD via LeMat-Bulk.

Properties
Its total energy is -0.253 hartree per atom. Its energy above the most stable polymorph in this dataset is 0.0 meV/atom.

Cell: 4.6284 4.6284 4.6284 Å, 60.00 60.00 60.00°
Element x y z (fractional)
Ba (0.2500, 0.2500, 0.2500)
Os (0.7500, 0.7500, 0.7500)
Re (0.0000, 0.0000, 0.0000)



(3)
The following is a PBE calculation of crystalline Ac3Si4Pd4 at its relaxed geometry, from OQMD via LeMat-Bulk.

Properties
Its total energy is -0.215 hartree per atom.

Cell: 12.8725 12.8725 4.3894 Å, 99.79 99.79 19.59°
Element x y z (fractional)
Si (0.4516, 0.4516, 0.4517)
Si (0.2003, 0.2003, 0.7005)
Si (0.7997, 0.7997, 0.2995)
Si (0.5484, 0.5484, 0.5483)
Ac (0.3524, 0.3524, 0.8522)
Ac (0.6476, 0.6476, 0.1478)
Ac (0.0000, 0.0000, 0.0000)
Pd (0.7514, 0.7514, 0.7515)
Pd (0.0989, 0.0989, 0.5988)
Pd (0.9011, 0.9011, 0.4012)
Pd (0.2486, 0.2486, 0.2485)